Entry 1:
A relaxed structure of BaBeBiRu2. Source: Alexandria, functional PBE.

POSCAR file:
```
BaBeBiRu2
1.0
-0.4198 -5.0235 -1.1796
3.4241 -1.1565 3.7069
-3.5647 -0.4429 3.1546
Ru Be Bi Ba
2 1 1 1
Cartesian
1.7120 -0.5783 1.8535
-0.2099 -2.5118 -0.5898
-1.7824 -0.2214 1.5773
0.0000 0.0000 0.0000
-0.2802 -3.3115 2.8410
```

Values from the calculation:
SG: P4/mmm
DFT formation energy: 5.6 eV/f.u.

---

Entry 2:
A relaxed structure of BaScBe2Bi. Source: Alexandria, functional PBE.

POSCAR file:
```
BaScBe2Bi
1.0
5.1706 0.0000 0.0000
0.0000 5.5315 0.0000
0.0000 0.0000 5.1706
Sc Be Bi Ba
1 2 1 1
Cartesian
0.0000 0.0000 0.0000
0.0000 0.0000 2.5853
2.5853 0.0000 0.0000
0.0000 2.7658 0.0000
2.5853 2.7658 2.5853
```

Values from the calculation:
SG: P4/mmm
DFT formation energy: 2.3 eV/f.u.

---

Entry 3:
A relaxed structure of Ba2BeSiBi. Source: Alexandria, functional PBE.

POSCAR file:
```
Ba2BeSiBi
1.0
6.4445 0.0000 0.0000
0.0000 4.0232 0.0000
0.0000 0.0000 6.4445
Be Si Bi Ba
1 1 1 2
Cartesian
0.0000 0.0000 0.0000
0.0000 2.0116 0.0000
3.2222 2.0116 3.2222
0.0000 0.0000 3.2222
3.2222 0.0000 0.0000
```

Values from the calculation:
SG: P4/mmm
uncorrected formation energy: -0.2708 eV per atom

---

Entry 4:
A relaxed structure of BaBe2TcBi. Source: Alexandria, functional PBE.

POSCAR file:
```
BaBe2TcBi
1.0
-2.6028 -3.1469 -2.8479
0.3361 -3.7232 3.8069
-4.2326 1.6778 2.0145
Tc Be Bi Ba
1 2 1 1
Cartesian
0.1681 -1.8616 1.9035
-2.1163 0.8389 1.0073
-1.3014 -1.5735 -1.4239
0.0000 0.0000 0.0000
-3.2497 -2.5962 1.4868
```

Values from the calculation:
SG: P4/mmm
DFT formation energy: 6.0 eV/f.u.

---

Entry 5:
A relaxed structure of BaBeBiW2. Source: Alexandria, functional PBE.

POSCAR file:
```
BaBeBiW2
1.0
-0.2513 -2.7069 -4.5860
4.8570 -0.0724 -0.2234
0.0561 -4.5922 2.7075
Be Bi W Ba
1 1 2 1
Cartesian
2.4285 -0.0362 -0.1117
0.0000 0.0000 0.0000
0.0281 -2.2961 1.3537
-0.1257 -1.3535 -2.2930
2.3309 -3.6857 -1.0510
```

Values from the calculation:
SG: P4/mmm
DFT formation energy: 10.4 eV/f.u.

---

Entry 6:
A relaxed structure of BaBeBr. Source: Alexandria, functional PBE.

POSCAR file:
```
BaBeBr
1.0
4.0791 0.0000 0.0000
0.0000 4.0791 0.0000
0.0000 0.0000 6.1287
Be Ba Br
1 1 1
Cartesian
2.0396 2.0396 4.3263
0.0000 0.0000 0.0794
2.0396 2.0396 2.1092
```

Values from the calculation:
SG: P4mm
uncorrected formation energy: -0.2678 eV per atom
E above lowest polymorph: 0 meV/atom

---

Repeat the third record exactly.
A relaxed structure of Ba2BeSiBi. Source: Alexandria, functional PBE.

POSCAR file:
```
Ba2BeSiBi
1.0
6.4445 0.0000 0.0000
0.0000 4.0232 0.0000
0.0000 0.0000 6.4445
Be Si Bi Ba
1 1 1 2
Cartesian
0.0000 0.0000 0.0000
0.0000 2.0116 0.0000
3.2222 2.0116 3.2222
0.0000 0.0000 3.2222
3.2222 0.0000 0.0000
```

Values from the calculation:
SG: P4/mmm
uncorrected formation energy: -0.2708 eV per atom